No. 1
First-principles (GGA-PBE) data for a geometry-optimized CaRuBr2 structure, as listed in the Alexandria database. Values from VASP.

```
&SYSTEM
  ibrav = 0, nat = 4, ntyp = 3
/
ATOMIC_SPECIES
Ca 40.08 Ca.upf
Ru 101.07 Ru.upf
Br 79.90 Br.upf
ATOMIC_POSITIONS crystal
Ca 0.000 0.000 0.000
Ru 0.500 0.000 0.500
Br 0.295 0.500 0.725
Br 0.705 0.500 0.275
CELL_PARAMETERS angstrom
4.340 0.000 0.000
0.000 4.228 0.000
-0.298 0.000 5.428
```

Values from the calculation:
Formation energy without anion corrections in eV per atom: -0.265
Total magnetic moment in μB per formula unit: 1.48
E_tot in eV/atom: -3.921
Energy above the most stable polymorph in this dataset in meV/atom: 301


No. 2
First-principles (GGA-PBE) data for a geometry-optimized CaRuBr structure, as listed in the Alexandria database. Values from VASP.

```
&SYSTEM
  ibrav = 0, nat = 12, ntyp = 3
/
ATOMIC_SPECIES
Ca 40.08 Ca.upf
Ru 101.07 Ru.upf
Br 79.90 Br.upf
ATOMIC_POSITIONS crystal
Ca 0.000 0.000 0.000
Ca 0.000 0.500 0.500
Ca 0.500 0.000 0.500
Ca 0.500 0.500 0.000
Ru 0.250 0.250 0.750
Ru 0.250 0.750 0.250
Ru 0.750 0.250 0.250
Ru 0.750 0.750 0.750
Br 0.250 0.250 0.250
Br 0.250 0.750 0.750
Br 0.750 0.250 0.750
Br 0.750 0.750 0.250
CELL_PARAMETERS angstrom
6.926 0.000 0.000
0.000 6.926 0.000
0.000 0.000 6.926
```

Values from the calculation:
Formation energy without anion corrections in eV per atom: 0.594
Total magnetic moment in μB per formula unit: 2.17
E_tot in eV/atom: -3.723
Energy above the most stable polymorph in this dataset in meV/atom: 627


No. 3
First-principles (GGA-PBE) data for a geometry-optimized CaRu2Br structure, as listed in the Alexandria database. Values from VASP.

```
&SYSTEM
  ibrav = 0, nat = 8, ntyp = 3
/
ATOMIC_SPECIES
Ca 40.08 Ca.upf
Ru 101.07 Ru.upf
Br 79.90 Br.upf
ATOMIC_POSITIONS crystal
Ca 0.000 0.000 0.000
Ca 0.500 0.500 0.000
Ru 0.209 0.000 0.716
Ru 0.498 0.000 0.619
Ru 0.709 0.500 0.716
Ru 0.998 0.500 0.619
Br 0.295 0.500 0.285
Br 0.795 0.000 0.285
CELL_PARAMETERS angstrom
6.946 0.000 0.000
0.000 3.879 0.000
-2.910 0.000 6.902
```

Values from the calculation:
Formation energy without anion corrections in eV per atom: -0.050
Total magnetic moment in μB per formula unit: 0.00
E_tot in eV/atom: -5.606
Energy above the most stable polymorph in this dataset in meV/atom: 0


No. 4
First-principles (GGA-PBE) data for a geometry-optimized CaRu2Br structure, as listed in the Alexandria database. Values from VASP.

```
&SYSTEM
  ibrav = 0, nat = 8, ntyp = 3
/
ATOMIC_SPECIES
Ca 40.08 Ca.upf
Ru 101.07 Ru.upf
Br 79.90 Br.upf
ATOMIC_POSITIONS crystal
Ca 0.000 0.000 0.000
Ca 0.500 0.500 0.000
Ru 0.225 0.500 0.832
Ru 0.275 0.000 0.168
Ru 0.725 0.000 0.832
Ru 0.775 0.500 0.168
Br 0.000 0.500 0.500
Br 0.500 0.000 0.500
CELL_PARAMETERS angstrom
11.278 0.000 0.000
0.000 3.708 0.000
-0.642 0.000 4.213
```

Values from the calculation:
Formation energy without anion corrections in eV per atom: 0.252
Total magnetic moment in μB per formula unit: 0.01
E_tot in eV/atom: -5.305
Energy above the most stable polymorph in this dataset in meV/atom: 301


No. 5
First-principles (GGA-PBE) data for a geometry-optimized CaRuBr structure, as listed in the Alexandria database. Values from VASP.

```
&SYSTEM
  ibrav = 0, nat = 6, ntyp = 3
/
ATOMIC_SPECIES
Ca 40.08 Ca.upf
Ru 101.07 Ru.upf
Br 79.90 Br.upf
ATOMIC_POSITIONS crystal
Ca 0.000 0.000 0.000
Ca 0.500 0.500 0.500
Ru 0.000 0.000 0.669
Ru 0.500 0.500 0.169
Br 0.000 0.000 0.332
Br 0.500 0.500 0.832
CELL_PARAMETERS angstrom
3.322 0.000 0.000
0.000 3.322 0.000
0.000 0.000 12.035
```

Values from the calculation:
Formation energy without anion corrections in eV per atom: 0.143
Total magnetic moment in μB per formula unit: 1.81
E_tot in eV/atom: -4.174
Energy above the most stable polymorph in this dataset in meV/atom: 176


No. 6
First-principles (GGA-PBE) data for a geometry-optimized CaRuBr2 structure, as listed in the Alexandria database. Values from VASP.

```
&SYSTEM
  ibrav = 0, nat = 8, ntyp = 3
/
ATOMIC_SPECIES
Ca 40.08 Ca.upf
Ru 101.07 Ru.upf
Br 79.90 Br.upf
ATOMIC_POSITIONS crystal
Ca 0.000 0.000 0.000
Ca 0.500 0.500 0.000
Ru 0.185 0.500 0.799
Ru 0.685 0.000 0.799
Br 0.010 0.500 0.493
Br 0.270 0.000 0.060
Br 0.510 0.000 0.493
Br 0.770 0.500 0.060
CELL_PARAMETERS angstrom
11.218 0.000 0.000
0.000 3.589 0.000
-0.076 0.000 5.224
```

Values from the calculation:
Formation energy without anion corrections in eV per atom: -0.387
Total magnetic moment in μB per formula unit: 0.40
E_tot in eV/atom: -4.043
Energy above the most stable polymorph in this dataset in meV/atom: 179


No. 7
First-principles (GGA-PBE) data for a geometry-optimized CaRuBr4 structure, as listed in the Alexandria database. Values from VASP.

```
&SYSTEM
  ibrav = 0, nat = 6, ntyp = 3
/
ATOMIC_SPECIES
Ca 40.08 Ca.upf
Ru 101.07 Ru.upf
Br 79.90 Br.upf
ATOMIC_POSITIONS crystal
Ca 0.000 0.000 0.000
Ru 0.750 0.750 0.750
Br 0.376 0.376 0.376
Br 0.376 0.376 0.873
Br 0.376 0.873 0.376
Br 0.873 0.376 0.376
CELL_PARAMETERS angstrom
0.000 4.447 4.447
4.447 0.000 4.447
4.447 4.447 0.000
```

Values from the calculation:
Formation energy without anion corrections in eV per atom: 0.560
Total magnetic moment in μB per formula unit: 1.75
E_tot in eV/atom: -2.435


No. 8
First-principles (GGA-PBE) data for a geometry-optimized CaRu2Br structure, as listed in the Alexandria database. Values from VASP.

```
&SYSTEM
  ibrav = 0, nat = 4, ntyp = 3
/
ATOMIC_SPECIES
Ca 40.08 Ca.upf
Ru 101.07 Ru.upf
Br 79.90 Br.upf
ATOMIC_POSITIONS crystal
Ca 0.000 0.000 0.000
Ru 0.000 0.500 0.500
Ru 0.500 0.000 0.500
Br 0.500 0.500 0.000
CELL_PARAMETERS angstrom
3.709 0.000 0.000
0.000 3.709 0.000
0.000 0.000 5.971
```

Values from the calculation:
Formation energy without anion corrections in eV per atom: 0.375
Total magnetic moment in μB per formula unit: 0.00
E_tot in eV/atom: -5.181
Energy above the most stable polymorph in this dataset in meV/atom: 425


No. 9
First-principles (GGA-PBE) data for a geometry-optimized Ca2Ru2Br structure, as listed in the Alexandria database. Values from VASP.

```
&SYSTEM
  ibrav = 0, nat = 10, ntyp = 3
/
ATOMIC_SPECIES
Ca 40.08 Ca.upf
Ru 101.07 Ru.upf
Br 79.90 Br.upf
ATOMIC_POSITIONS crystal
Ca 0.188 0.312 0.000
Ca 0.312 0.812 0.000
Ca 0.688 0.188 0.000
Ca 0.812 0.688 0.000
Ru 0.093 0.593 0.500
Ru 0.407 0.093 0.500
Ru 0.593 0.907 0.500
Ru 0.907 0.407 0.500
Br 0.000 0.000 0.000
Br 0.500 0.500 0.000
CELL_PARAMETERS angstrom
8.587 0.000 0.000
0.000 8.587 0.000
0.000 0.000 3.312
```

Values from the calculation:
Formation energy without anion corrections in eV per atom: 0.242
Total magnetic moment in μB per formula unit: 1.88
E_tot in eV/atom: -4.603
Energy above the most stable polymorph in this dataset in meV/atom: 546


No. 10
First-principles (GGA-PBE) data for a geometry-optimized CaRu2Br structure, as listed in the Alexandria database. Values from VASP.

```
&SYSTEM
  ibrav = 0, nat = 12, ntyp = 3
/
ATOMIC_SPECIES
Ca 40.08 Ca.upf
Ru 101.07 Ru.upf
Br 79.90 Br.upf
ATOMIC_POSITIONS crystal
Ca 0.000 0.000 0.000
Ca 0.333 0.667 0.667
Ca 0.667 0.333 0.333
Ru 0.000 0.000 0.243
Ru 0.000 0.000 0.757
Ru 0.333 0.667 0.424
Ru 0.333 0.667 0.909
Ru 0.667 0.333 0.091
Ru 0.667 0.333 0.576
Br 0.000 0.000 0.500
Br 0.333 0.667 0.167
Br 0.667 0.333 0.833
CELL_PARAMETERS angstrom
3.089 0.000 0.000
-1.544 2.675 0.000
0.000 0.000 26.724
```

Values from the calculation:
Formation energy without anion corrections in eV per atom: 0.803
Total magnetic moment in μB per formula unit: 0.00
E_tot in eV/atom: -4.754
Energy above the most stable polymorph in this dataset in meV/atom: 852


No. 11
First-principles (GGA-PBE) data for a geometry-optimized CaRu2Br structure, as listed in the Alexandria database. Values from VASP.

```
&SYSTEM
  ibrav = 0, nat = 16, ntyp = 3
/
ATOMIC_SPECIES
Ca 40.08 Ca.upf
Ru 101.07 Ru.upf
Br 79.90 Br.upf
ATOMIC_POSITIONS crystal
Ca 0.000 0.000 0.000
Ca 0.000 0.500 0.500
Ca 0.500 0.000 0.500
Ca 0.500 0.500 0.000
Ru 0.250 0.250 0.250
Ru 0.250 0.250 0.750
Ru 0.250 0.750 0.250
Ru 0.250 0.750 0.750
Ru 0.750 0.250 0.250
Ru 0.750 0.250 0.750
Ru 0.750 0.750 0.250
Ru 0.750 0.750 0.750
Br 0.000 0.000 0.500
Br 0.000 0.500 0.000
Br 0.500 0.000 0.000
Br 0.500 0.500 0.500
CELL_PARAMETERS angstrom
6.533 0.000 0.000
0.000 6.533 0.000
0.000 0.000 6.533
```

Values from the calculation:
Formation energy without anion corrections in eV per atom: 0.865
Total magnetic moment in μB per formula unit: 0.00
E_tot in eV/atom: -4.692
Energy above the most stable polymorph in this dataset in meV/atom: 914


No. 12
First-principles (GGA-PBE) data for a geometry-optimized CaRu2Br structure, as listed in the Alexandria database. Values from VASP.

```
&SYSTEM
  ibrav = 0, nat = 4, ntyp = 3
/
ATOMIC_SPECIES
Ca 40.08 Ca.upf
Ru 101.07 Ru.upf
Br 79.90 Br.upf
ATOMIC_POSITIONS crystal
Ca 0.000 0.000 0.000
Ru 0.000 0.500 0.500
Ru 0.500 0.000 0.500
Br 0.500 0.500 0.000
CELL_PARAMETERS angstrom
3.176 0.000 0.000
0.000 4.493 0.000
0.000 0.000 5.310
```

Values from the calculation:
Formation energy without anion corrections in eV per atom: 0.405
Total magnetic moment in μB per formula unit: 2.32
E_tot in eV/atom: -5.151
Energy above the most stable polymorph in this dataset in meV/atom: 455